[1]
VASP calculation (PBE) on an optimized crystal structure of Sm2Re3Os.

Computed properties:
* space group: P6_3/mmc, No. 194
* E_form: -0.11 eV/atom

a = 5.3546 Å, b = 5.3546 Å, c = 9.1892 Å
α = 90.00°, β = 90.00°, γ = 120.00°
With the nearest neighbours (Å) after each atom.
Sites, in units of the cell vectors:
Sm 0.3333 0.6667 0.0616  3 Os 3.14, 9 Re 3.19-3.24, 4 Sm 3.29-3.46
Sm 0.3333 0.6667 0.4384  3 Os 3.14, 9 Re 3.19-3.24, 4 Sm 3.29-3.46
Sm 0.6667 0.3333 0.5616  3 Os 3.14, 9 Re 3.19-3.24, 4 Sm 3.29-3.46
Sm 0.6667 0.3333 0.9384  3 Os 3.14, 9 Re 3.19-3.24, 4 Sm 3.29-3.46
Re 0.1701 0.3402 0.7500  4 Re 2.62-2.73, 2 Os 2.79
Re 0.1701 0.8299 0.7500  4 Re 2.62-2.73, 2 Os 2.79
Re 0.3402 0.1701 0.2500  4 Re 2.62-2.73, 2 Os 2.79
Re 0.6598 0.8299 0.7500  4 Re 2.62-2.73, 2 Os 2.79
Re 0.8299 0.1701 0.2500  4 Re 2.62-2.73, 2 Os 2.79
Re 0.8299 0.6598 0.2500  4 Re 2.62-2.73, 2 Os 2.79
Os 0.0000 0.0000 0.0000  6 Re 2.79
Os 0.0000 0.0000 0.5000  6 Re 2.79


[2]
VASP calculation (PBE) on an optimized crystal structure of Re2Sn3Os2.

Computed properties:
* space group: R3m, No. 160
* raw total energy: -7.530 eV per atom

a = 7.8601 Å, b = 7.8601 Å, c = 7.8601 Å
α = 33.19°, β = 33.19°, γ = 33.19°
With the nearest neighbours (Å) after each atom.
Sites, in units of the cell vectors:
Re 0.0000 0.0000 0.0000  5 Sn 2.64-2.76
Re 0.5000 0.5000 0.5000  7 Sn 2.76-2.96
Sn 0.1238 0.1238 0.1238  4 Os 2.71-2.73, 4 Re 2.76
Sn 0.3672 0.3672 0.3672  4 Os 2.69-2.86, 4 Re 2.70-2.96
Sn 0.8812 0.8812 0.8812  4 Re 2.64-2.80, 4 Os 2.69-2.81
Os 0.2463 0.2463 0.2463  5 Sn 2.69-2.73
Os 0.7549 0.7549 0.7549  7 Sn 2.71-2.86


[3]
VASP calculation (PBE) on an optimized crystal structure of Sr2Re2Os3.

Computed properties:
* space group: R3m, No. 160
* raw total energy: -7.727 eV per atom

a = 7.7083 Å, b = 7.7083 Å, c = 7.7083 Å
α = 35.22°, β = 35.22°, γ = 35.22°
With the nearest neighbours (Å) after each atom.
Sites, in units of the cell vectors:
Sr 0.0000 0.0000 0.0000  6 Os 2.73-2.96
Sr 0.4797 0.4797 0.4797  5 Os 2.71-2.87
Re 0.2403 0.2403 0.2403  1 Os 2.47
Re 0.7404 0.7404 0.7404  2 Os 2.55-2.84
Os 0.3545 0.3545 0.3545  1 Re 2.47, 4 Sr 2.71-2.73
Os 0.6094 0.6094 0.6094  4 Re 2.80-2.84, 4 Sr 2.81-2.96
Os 0.8583 0.8583 0.8583  1 Re 2.55


[4]
VASP calculation (PBE) on an optimized crystal structure of Ta2ReOs.

Computed properties:
* space group: Fm-3m, No. 225
* E_form: -0.35 eV/atom

a = 4.5123 Å, b = 4.5123 Å, c = 4.5123 Å
α = 60.00°, β = 60.00°, γ = 60.00°
With the nearest neighbours (Å) after each atom.
Sites, in units of the cell vectors:
Ta 0.2500 0.2500 0.2500  4 Os 2.76, 4 Re 2.76
Ta 0.7500 0.7500 0.7500  4 Re 2.76, 4 Os 2.76
Re 0.0000 0.0000 0.0000  8 Ta 2.76
Os 0.5000 0.5000 0.5000  8 Ta 2.76


[5]
VASP calculation (PBE) on an optimized crystal structure of Ta2ReOs.

Computed properties:
* space group: Pnma, No. 62
* E_form: -0.19 eV/atom

a = 5.0463 Å, b = 8.1043 Å, c = 6.5281 Å
α = 90.00°, β = 90.00°, γ = 90.00°
With the nearest neighbours (Å) after each atom.
Sites, in units of the cell vectors:
Ta 0.2500 0.0557 0.0798  2 Os 2.56-2.77
Ta 0.2500 0.4443 0.0798  2 Os 2.56-2.77
Ta 0.2500 0.5557 0.5798  2 Os 2.56-2.77
Ta 0.2500 0.9443 0.5798  2 Os 2.56-2.77
Ta 0.7500 0.0557 0.4202  2 Os 2.56-2.77
Ta 0.7500 0.4443 0.4202  2 Os 2.56-2.77
Ta 0.7500 0.5557 0.9202  2 Os 2.56-2.77
Ta 0.7500 0.9443 0.9202  2 Os 2.56-2.77
Re 0.0023 0.2500 0.7502  2 Re 2.52, 2 Os 2.67-2.68
Re 0.4977 0.7500 0.2502  2 Re 2.52, 2 Os 2.67-2.68
Re 0.5023 0.2500 0.7498  2 Re 2.52, 2 Os 2.67-2.68
Re 0.9977 0.7500 0.2498  2 Re 2.52, 2 Os 2.67-2.68
Os 0.2503 0.2500 0.3886  4 Ta 2.56-2.77, 2 Re 2.67-2.68
Os 0.2497 0.7500 0.8886  4 Ta 2.56-2.77, 2 Re 2.67-2.68
Os 0.7503 0.2500 0.1114  4 Ta 2.56-2.77, 2 Re 2.67-2.68
Os 0.7497 0.7500 0.6114  4 Ta 2.56-2.77, 2 Re 2.67-2.68


[6]
VASP calculation (PBE) on an optimized crystal structure of Ta5Re4Os.

Computed properties:
* space group: P4/mmm, No. 123
* E_form: -0.39 eV/atom

a = 3.1951 Å, b = 3.1951 Å, c = 15.9901 Å
α = 90.00°, β = 90.00°, γ = 90.00°
With the nearest neighbours (Å) after each atom.
Sites, in units of the cell vectors:
Ta 0.0000 0.0000 0.0000  8 Re 2.77
Ta 0.0000 0.0000 0.1995  8 Re 2.76-2.78
Ta 0.0000 0.0000 0.3980  4 Re 2.74, 4 Os 2.79
Ta 0.0000 0.0000 0.6020  4 Re 2.74, 4 Os 2.79
Ta 0.0000 0.0000 0.8005  8 Re 2.76-2.78
Re 0.5000 0.5000 0.1002  8 Ta 2.76-2.77
Re 0.5000 0.5000 0.3010  8 Ta 2.74-2.78
Re 0.5000 0.5000 0.6990  8 Ta 2.74-2.78
Re 0.5000 0.5000 0.8998  8 Ta 2.76-2.77
Os 0.5000 0.5000 0.5000  8 Ta 2.79


[7]
VASP calculation (PBE) on an optimized crystal structure of Ta2ReOs.

Computed properties:
* space group: Fm-3m, No. 225
* E_form: -0.35 eV/atom

a = 4.5123 Å, b = 4.5123 Å, c = 4.5123 Å
α = 60.00°, β = 60.00°, γ = 60.00°
With the nearest neighbours (Å) after each atom.
Sites, in units of the cell vectors:
Ta 0.2500 0.2500 0.2500  4 Re 2.76, 4 Os 2.76
Ta 0.7500 0.7500 0.7500  4 Re 2.76, 4 Os 2.76
Re 0.0000 0.0000 0.0000  8 Ta 2.76
Os 0.5000 0.5000 0.5000  8 Ta 2.76


[8]
VASP calculation (PBE) on an optimized crystal structure of TbRe2Os2.

Computed properties:
* space group: I4/mmm, No. 139
* energy above the lowest structure with this stoichiometry: 0.0000 eV per atom
* E_form: 0.01 eV/atom

a = 6.0298 Å, b = 6.0298 Å, c = 6.0298 Å
α = 138.81°, β = 138.81°, γ = 59.66°
With the nearest neighbours (Å) after each atom.
Sites, in units of the cell vectors:
Tb 0.0000 0.0000 0.0000  8 Os 3.25, 8 Re 3.37
Re 0.2500 0.7500 0.5000  4 Os 2.53
Re 0.7500 0.2500 0.5000  4 Os 2.53
Os 0.3812 0.3812 0.0000  1 Os 2.49, 4 Re 2.53
Os 0.6188 0.6188 0.0000  1 Os 2.49, 4 Re 2.53


[9]
VASP calculation (PBE) on an optimized crystal structure of Re2Tc2Os.

Computed properties:
* space group: I4/mmm, No. 139
* energy above the lowest structure with this stoichiometry: 0.0000 eV per atom
* E_form: 0.90 eV/atom

a = 6.3100 Å, b = 6.3100 Å, c = 6.3100 Å
α = 145.07°, β = 145.07°, γ = 50.23°
With the nearest neighbours (Å) after each atom.
Sites, in units of the cell vectors:
Re 0.1037 0.1037 0.0000  1 Re 2.37, 4 Tc 2.53
Re 0.8963 0.8963 0.0000  1 Re 2.37, 4 Tc 2.53
Tc 0.2500 0.7500 0.5000  4 Re 2.53, 4 Tc 2.68
Tc 0.7500 0.2500 0.5000  4 Re 2.53, 4 Tc 2.68
Os 0.5000 0.5000 0.0000  8 Re 2.93


[10]
VASP calculation (PBE) on an optimized crystal structure of ReTcOs.

Computed properties:
* space group: F-43m, No. 216
* energy above the lowest structure with this stoichiometry: 0.0000 eV per atom
* E_form: 0.59 eV/atom

a = 4.1803 Å, b = 4.1803 Å, c = 4.1803 Å
α = 60.00°, β = 60.00°, γ = 60.00°
With the nearest neighbours (Å) after each atom.
Sites, in units of the cell vectors:
Re 0.0000 0.0000 0.0000  4 Tc 2.56, 4 Os 2.56
Tc 0.2500 0.2500 0.2500  4 Re 2.56
Os 0.7500 0.7500 0.7500  4 Re 2.56


[11]
VASP calculation (PBE) on an optimized crystal structure of ReTcOs.

Computed properties:
* space group: R-3m, No. 166
* energy above the lowest structure with this stoichiometry: 0.0050 eV per atom
* E_form: 0.59 eV/atom

a = 6.4099 Å, b = 6.4099 Å, c = 6.4099 Å
α = 39.52°, β = 39.52°, γ = 39.52°
With the nearest neighbours (Å) after each atom.
Sites, in units of the cell vectors:
Re 0.2151 0.2151 0.2151  4 Tc 2.47-2.61, 1 Os 2.72
Re 0.7849 0.7849 0.7849  4 Tc 2.47-2.61, 1 Os 2.72
Tc 0.0754 0.0754 0.0754  4 Re 2.47-2.61, 3 Os 2.60, 1 Tc 2.67
Tc 0.9246 0.9246 0.9246  4 Re 2.47-2.61, 3 Os 2.60, 1 Tc 2.67
Os 0.3685 0.3685 0.3685  3 Tc 2.60, 4 Re 2.72-2.90, 3 Os 2.79
Os 0.6315 0.6315 0.6315  3 Tc 2.60, 4 Re 2.72-2.90, 3 Os 2.79


[12]
VASP calculation (PBE) on an optimized crystal structure of ReTcOs2.

Computed properties:
* space group: F-43m, No. 216
* E_form: 0.56 eV/atom

a = 4.3783 Å, b = 4.3783 Å, c = 4.3783 Å
α = 60.00°, β = 60.00°, γ = 60.00°
With the nearest neighbours (Å) after each atom.
Sites, in units of the cell vectors:
Re 0.0000 0.0000 0.0000  4 Tc 2.68, 4 Os 2.68
Tc 0.2500 0.2500 0.2500  4 Os 2.68, 4 Re 2.68
Os 0.5000 0.5000 0.5000  4 Os 2.68, 4 Tc 2.68
Os 0.7500 0.7500 0.7500  4 Re 2.68, 4 Os 2.68


[13]
VASP calculation (PBE) on an optimized crystal structure of ThReOs.

Computed properties:
* space group: F-43m, No. 216
* E_form: 0.63 eV/atom

a = 4.5842 Å, b = 4.5842 Å, c = 4.5842 Å
α = 60.00°, β = 60.00°, γ = 60.00°
With the nearest neighbours (Å) after each atom.
Sites, in units of the cell vectors:
Th 0.0000 0.0000 0.0000  4 Os 2.81
Re 0.5000 0.5000 0.5000  4 Os 2.81
Os 0.7500 0.7500 0.7500  4 Th 2.81, 4 Re 2.81